Record 1
# RuPtSe2 | Alexandria via LeMat-Bulk | PBE-GGA | relaxed
data_RuPtSe2
_symmetry_space_group_name_H-M 'I -4 2 d'
_symmetry_Int_Tables_number 122
_symmetry_space_group_name_Hall 'I -4 2bw'
_cell_length_a 5.637
_cell_length_b 5.637
_cell_length_c 11.111
_cell_angle_alpha 90.00
_cell_angle_beta 90.00
_cell_angle_gamma 90.00
loop_
_atom_site_label
_atom_site_fract_x
_atom_site_fract_y
_atom_site_fract_z
Ru1 0.000 0.000 0.000
Pt1 0.000 0.000 0.500
Se1 0.235 0.250 0.125
# Polymorph energy (0 for the lowest one) ... 0.135 eV/atom
# Energy relative to the elements, uncorrected ... 0.0569 eV/atom

=====

Record 2
Li3Dy4Tl4: relaxed, PBE-GGA.

Geometry as CIF:
```
data_Li3Dy4Tl4
_symmetry_space_group_name_H-M 'I m m m'
_symmetry_Int_Tables_number 71
_symmetry_space_group_name_Hall '-I 2 2'
_cell_length_a 3.425
_cell_length_b 9.584
_cell_length_c 17.977
_cell_angle_alpha 90.00
_cell_angle_beta 90.00
_cell_angle_gamma 90.00
loop_
_atom_site_label
_atom_site_fract_x
_atom_site_fract_y
_atom_site_fract_z
Li1 0.000 0.000 0.000
Li2 0.000 0.500 0.091
Dy1 0.000 0.314 0.334
Tl1 0.000 0.000 0.279
Tl2 0.000 0.203 0.500
```

=====

Record 3
# Tb3Pu2N4 | Alexandria via LeMat-Bulk | PBE-GGA | relaxed
data_Tb3Pu2N4
_symmetry_space_group_name_H-M 'C 1 2/m 1'
_symmetry_Int_Tables_number 12
_cell_length_a 11.612
_cell_length_b 3.451
_cell_length_c 8.619
_cell_angle_alpha 90.00
_cell_angle_beta 118.87
_cell_angle_gamma 90.00
loop_
_symmetry_equiv_pos_as_xyz
'x,y,z'
'-x,-y,-z'
'-x,y,-z'
'x,-y,z'
'x+1/2,y+1/2,z'
'-x+1/2,-y+1/2,-z'
'-x+1/2,y+1/2,-z'
'x+1/2,-y+1/2,z'
loop_
_atom_site_label
_atom_site_fract_x
_atom_site_fract_y
_atom_site_fract_z
Tb1 0.000 0.000 0.000
Tb2 0.207 0.000 0.812
Pu1 0.101 0.500 0.393
N1 0.104 0.500 0.902
N2 0.194 0.000 0.306
# Energy relative to the elements, uncorrected ... -1.2956 eV/atom

=====

| no. | DFT total energy (eV per atom) |
| --- | --- |
| 1 | -5.51 |
| 2 | -3.15 |
| 3 | -9.72 |